Record 1
Compound: Ba2FeOsCl
Source: Alexandria via LeMat-Bulk
Functional: PBE-GGA
Structure: optimized geometry

Lattice parameters (Å, degrees): 5.8982 5.8982 4.1787 90.00 90.00 90.00
Last column: nearest neighbours and their distance in Å.
Element x y z (fractional)
Ba  0.0000  0.5000  0.0000  2 Fe 2.95
Ba  0.5000  0.0000  0.0000  2 Fe 2.95
Fe  0.0000  0.0000  0.0000  2 Cl 2.09
Os  0.5000  0.5000  0.5000  8 Ba 3.61
Cl  0.0000  0.0000  0.5000  2 Fe 2.09

Output
Volume, Å³/atom: 29.07
Energy relative to the elements, uncorrected, eV/atom: 0.73
Final energy, eV per atom: -4.35
Symmetry: P4/mmm, No. 123

---

Record 2
Compound: BaFeP2Cl
Source: Alexandria via LeMat-Bulk
Functional: PBE-GGA
Structure: optimized geometry

Lattice parameters (Å, degrees): 4.4368 4.4368 5.8476 90.00 90.00 90.00
Last column: nearest neighbours and their distance in Å.
Element x y z (fractional)
Ba  0.0000  0.0000  0.0000  4 Cl 3.14
Fe  0.5000  0.5000  0.5000  4 P 2.22
P  0.0000  0.5000  0.5000  2 Fe 2.22
P  0.5000  0.0000  0.5000  2 Fe 2.22
Cl  0.5000  0.5000  0.0000  2 Fe 2.92, 4 Ba 3.14

Output
Volume, Å³/atom: 23.02
Energy relative to the elements, uncorrected, eV/atom: -0.65
Final energy, eV per atom: -5.26
Symmetry: P4/mmm, No. 123

---

Record 3
Compound: RbBaFe2Cl8
Source: Alexandria via LeMat-Bulk
Functional: PBE-GGA
Structure: optimized geometry

Lattice parameters (Å, degrees): 6.6367 6.6367 10.5780 92.83 92.83 69.01
Last column: nearest neighbours and their distance in Å.
Element x y z (fractional)
Rb  0.0000  0.0000  0.0000  6 Cl 3.40-3.43
Ba  0.0000  0.0000  0.5000  6 Cl 3.13
Fe  0.3926  0.3926  0.7367  4 Cl 2.20-2.28
Fe  0.6074  0.6074  0.2633  4 Cl 2.20-2.28
Cl  0.2399  0.7337  0.2652  1 Fe 2.28
Cl  0.2663  0.7601  0.7348  1 Fe 2.28
Cl  0.2849  0.2849  0.5472  1 Fe 2.26
Cl  0.2974  0.2974  0.9146  1 Fe 2.20
Cl  0.7026  0.7026  0.0854  1 Fe 2.20
Cl  0.7151  0.7151  0.4528  1 Fe 2.26
Cl  0.7337  0.2399  0.2652  1 Fe 2.28
Cl  0.7601  0.2663  0.7348  1 Fe 2.28

Output
Volume, Å³/atom: 36.18
Energy relative to the elements, uncorrected, eV/atom: -1.42
Final energy, eV per atom: -4.30
Symmetry: C2/m, No. 12

---

Record 4
Compound: BaFeSCl2
Source: Alexandria via LeMat-Bulk
Functional: PBE-GGA
Structure: optimized geometry

Lattice parameters (Å, degrees): 5.8542 5.8542 6.1649 90.00 90.00 90.00
Last column: nearest neighbours and their distance in Å.
Element x y z (fractional)
Ba  0.0000  0.0000  0.0000  4 Cl 2.93, 2 S 3.08
Fe  0.5000  0.5000  0.5000  4 S 4.14, 8 Cl 4.25
S  0.0000  0.0000  0.5000  2 Ba 3.08
Cl  0.0000  0.5000  0.0000  2 Ba 2.93
Cl  0.5000  0.0000  0.0000  2 Ba 2.93

Output
Volume, Å³/atom: 42.26
Energy relative to the lowest polymorph listed for this composition, eV/atom: 1.166
Energy relative to the elements, uncorrected, eV/atom: -0.13
Final energy, eV per atom: -3.78
Symmetry: P4/mmm, No. 123

---

Record 5
Compound: BaFeSCl2
Source: Alexandria via LeMat-Bulk
Functional: PBE-GGA
Structure: optimized geometry

Lattice parameters (Å, degrees): 4.9729 4.9729 4.7676 90.00 90.00 90.00
Last column: nearest neighbours and their distance in Å.
Element x y z (fractional)
Ba  0.0000  0.0000  0.0000  8 Cl 3.44, 4 S 3.52
Fe  0.5000  0.5000  0.5000  2 S 2.38, 4 Cl 2.49
S  0.5000  0.5000  0.0000  2 Fe 2.38
Cl  0.0000  0.5000  0.5000  2 Fe 2.49
Cl  0.5000  0.0000  0.5000  2 Fe 2.49

Output
Volume, Å³/atom: 23.58
Energy relative to the lowest polymorph listed for this composition, eV/atom: 0.000
Energy relative to the elements, uncorrected, eV/atom: -1.30
Final energy, eV per atom: -4.94
Symmetry: P4/mmm, No. 123

---

Record 6
Compound: BaFeSi2Cl
Source: Alexandria via LeMat-Bulk
Functional: PBE-GGA
Structure: optimized geometry

Lattice parameters (Å, degrees): 4.8697 4.8697 5.6270 90.00 90.00 90.00
Last column: nearest neighbours and their distance in Å.
Element x y z (fractional)
Ba  0.0000  0.0000  0.0000  2 Cl 2.81
Fe  0.5000  0.5000  0.0000  4 Ba 3.44, 8 Si 3.72
Si  0.0000  0.5000  0.5000  2 Cl 2.43
Si  0.5000  0.0000  0.5000  2 Cl 2.43
Cl  0.0000  0.0000  0.5000  4 Si 2.43

Output
Volume, Å³/atom: 26.69
Energy relative to the elements, uncorrected, eV/atom: 0.87
Final energy, eV per atom: -3.75
Symmetry: P4/mmm, No. 123

---

Record 7
Compound: BaFe2SnCl8
Source: Alexandria via LeMat-Bulk
Functional: PBE-GGA
Structure: optimized geometry

Lattice parameters (Å, degrees): 7.3386 7.3386 8.8988 90.00 90.00 120.00
Last column: nearest neighbours and their distance in Å.
Element x y z (fractional)
Ba  0.0000  0.0000  0.0000  6 Cl 3.21
Fe  0.3333  0.6667  0.1914  4 Cl 2.22-2.31
Fe  0.6667  0.3333  0.8086  4 Cl 2.22-2.31
Sn  0.0000  0.0000  0.5000  6 Cl 2.86
Cl  0.1618  0.3235  0.2768  1 Fe 2.31
Cl  0.1618  0.8382  0.2768  1 Fe 2.31
Cl  0.3235  0.1618  0.7232  1 Fe 2.31
Cl  0.3333  0.6667  0.9423  1 Fe 2.22
Cl  0.6667  0.3333  0.0577  1 Fe 2.22
Cl  0.6765  0.8382  0.2768  1 Fe 2.31
Cl  0.8382  0.1618  0.7232  1 Fe 2.31
Cl  0.8382  0.6765  0.7232  1 Fe 2.31

Output
Volume, Å³/atom: 34.59
Energy relative to the elements, uncorrected, eV/atom: -1.15
Final energy, eV per atom: -4.29
Symmetry: P-3m1, No. 164

---

Record 8
Compound: BaTlFeCl5
Source: Alexandria via LeMat-Bulk
Functional: PBE-GGA
Structure: optimized geometry

Lattice parameters (Å, degrees): 7.8377 7.8377 10.7100 102.88 102.88 106.78
Last column: nearest neighbours and their distance in Å.
Element x y z (fractional)
Ba  0.0000  0.0000  0.0000  6 Cl 3.01-3.15
Ba  0.0000  0.0000  0.5000  6 Cl 3.01-3.15
Tl  0.3508  0.6492  0.7500  5 Cl 3.04-3.34
Tl  0.6492  0.3508  0.2500  5 Cl 3.04-3.34
Fe  0.3177  0.6823  0.2500  4 Cl 2.31
Fe  0.6823  0.3177  0.7500  4 Cl 2.31
Cl  0.0766  0.6579  0.3438  1 Fe 2.31
Cl  0.1089  0.8911  0.7500  2 Ba 3.01, 1 Tl 3.04
Cl  0.2733  0.4172  0.0808  1 Fe 2.31
Cl  0.3421  0.9234  0.1562  1 Fe 2.31
Cl  0.4172  0.2733  0.5808  1 Fe 2.31
Cl  0.5828  0.7267  0.4192  1 Fe 2.31
Cl  0.6579  0.0766  0.8438  1 Fe 2.31
Cl  0.7267  0.5828  0.9192  1 Fe 2.31
Cl  0.8911  0.1089  0.2500  2 Ba 3.01, 1 Tl 3.04
Cl  0.9234  0.3421  0.6562  1 Fe 2.31

Output
Volume, Å³/atom: 36.52
Energy relative to the elements, uncorrected, eV/atom: -1.43
Final energy, eV per atom: -4.18
Symmetry: C2/c, No. 15

---

Record 9
Compound: BaTlFe2Cl8
Source: Alexandria via LeMat-Bulk
Functional: PBE-GGA
Structure: optimized geometry

Lattice parameters (Å, degrees): 6.5994 6.5994 10.2970 91.58 91.58 69.91
Last column: nearest neighbours and their distance in Å.
Element x y z (fractional)
Ba  0.0000  0.0000  0.0000  6 Cl 3.13
Tl  0.0000  0.0000  0.5000  6 Cl 3.26-3.30
Fe  0.3911  0.3911  0.2415  4 Cl 2.20-2.28
Fe  0.6089  0.6089  0.7585  4 Cl 2.20-2.28
Cl  0.2413  0.7335  0.7602  1 Fe 2.28
Cl  0.2665  0.7587  0.2398  1 Fe 2.28
Cl  0.2871  0.2871  0.0469  1 Fe 2.26
Cl  0.2903  0.2903  0.4236  1 Fe 2.20
Cl  0.7097  0.7097  0.5764  1 Fe 2.20
Cl  0.7129  0.7129  0.9531  1 Fe 2.26
Cl  0.7335  0.2413  0.7602  1 Fe 2.28
Cl  0.7587  0.2665  0.2398  1 Fe 2.28

Output
Volume, Å³/atom: 35.08
Energy relative to the elements, uncorrected, eV/atom: -1.25
Final energy, eV per atom: -4.25
Symmetry: C2/m, No. 12

---

Record 10
Compound: Ba2VFeCl
Source: Alexandria via LeMat-Bulk
Functional: PBE-GGA
Structure: optimized geometry

Lattice parameters (Å, degrees): 6.1389 6.1389 4.1993 90.00 90.00 90.00
Last column: nearest neighbours and their distance in Å.
Element x y z (fractional)
Ba  0.0000  0.5000  0.0000  2 Cl 3.07
Ba  0.5000  0.0000  0.0000  2 Cl 3.07
V  0.0000  0.0000  0.5000  8 Ba 3.72
Fe  0.5000  0.5000  0.5000  2 Cl 2.10
Cl  0.5000  0.5000  0.0000  2 Fe 2.10

Output
Volume, Å³/atom: 31.65
Energy relative to the elements, uncorrected, eV/atom: 0.57
Final energy, eV per atom: -4.08
Symmetry: P4/mmm, No. 123

---

Record 11
Compound: BaYFeCl2
Source: Alexandria via LeMat-Bulk
Functional: PBE-GGA
Structure: optimized geometry

Lattice parameters (Å, degrees): 5.6754 5.6754 6.7925 90.00 90.00 90.00
Last column: nearest neighbours and their distance in Å.
Element x y z (fractional)
Ba  0.0000  0.0000  0.0000  4 Cl 2.84
Y  0.5000  0.5000  0.5000  4 Fe 4.01, 8 Cl 4.43
Fe  0.0000  0.0000  0.5000  2 Ba 3.40
Cl  0.0000  0.5000  0.0000  2 Ba 2.84
Cl  0.5000  0.0000  0.0000  2 Ba 2.84

Output
Volume, Å³/atom: 43.76
Energy relative to the lowest polymorph listed for this composition, eV/atom: 0.000
Energy relative to the elements, uncorrected, eV/atom: -0.02
Final energy, eV per atom: -4.13
Symmetry: P4/mmm, No. 123

---

Record 12
Compound: BaYFeCl2
Source: Alexandria via LeMat-Bulk
Functional: PBE-GGA
Structure: optimized geometry

Lattice parameters (Å, degrees): 4.8759 4.8759 5.2967 90.00 90.00 90.00
Last column: nearest neighbours and their distance in Å.
Element x y z (fractional)
Ba  0.0000  0.0000  0.0000  2 Fe 2.65
Y  0.5000  0.5000  0.0000  4 Ba 3.45, 8 Cl 3.60
Fe  0.0000  0.0000  0.5000  4 Cl 2.44, 2 Ba 2.65
Cl  0.0000  0.5000  0.5000  2 Fe 2.44
Cl  0.5000  0.0000  0.5000  2 Fe 2.44

Output
Volume, Å³/atom: 25.18
Energy relative to the lowest polymorph listed for this composition, eV/atom: 0.140
Energy relative to the elements, uncorrected, eV/atom: 0.12
Final energy, eV per atom: -3.99
Symmetry: P4/mmm, No. 123